A relaxed structure of NpZnHg2, computed with GGA-PBE.

It has space group Amm2 (No. 38), with a = 10.4354 Å, b = 3.0578 Å, c = 5.2898 Å, α = 90.00°, β = 90.00° and γ = 90.00°. Symmetry generates all atoms from Np at (0.0000, 0.0000, 0.0000), Zn at (0.5000, 0.0000, 0.0022) and Hg at (0.2690, 0.0000, 0.3335).

The total magnetization comes out at 0.879 μB/atom. The volume comes out at 168.8 Å³/cell. The value obtained for the uncorrected energy is -14.0 eV per formula unit. As for the polymorph energy (0 for the lowest one): 0.167 eV/f.u.